Record 1
# Rb2PmCuCl6 (PBE-GGA, optimized geometry)
# total energy = -39.57 eV for the cell shown
# E_form (uncorrected) = -1.771 eV per atom
# crystal system = triclinic
data_Rb2PmCuCl6
_cell_length_a 7.1820
_cell_length_b 7.4735
_cell_length_c 7.4861
_cell_angle_alpha 115.43
_cell_angle_beta 114.16
_cell_angle_gamma 98.12
_symmetry_space_group_name_H-M 'P 1'
_symmetry_Int_Tables_number 1
loop_
_symmetry_equiv_pos_as_xyz
'x,y,z'
loop_
_atom_site_label
_atom_site_fract_x
_atom_site_fract_y
_atom_site_fract_z
Rb1 0.2439 0.2424 0.4869
Rb2 0.7561 0.7576 0.5131
Pm1 0.0000 0.5000 0.0000
Cu1 0.5000 0.0000 0.0000
Cl1 0.2207 0.8348 0.0002
Cl2 0.2324 0.7379 0.4709
Cl3 0.3000 0.3206 0.0059
Cl4 0.7000 0.6794 0.9941
Cl5 0.7676 0.2621 0.5291
Cl6 0.7793 0.1652 0.9998



Record 2
# KInCo (PBE-GGA, optimized geometry)
# total energy = -8.88 eV for the cell shown
# energy of formation from the pure elements = 0.686 eV per atom
# relative energy among the computed polymorphs = 0.308 eV per atom
# crystal system = trigonal
data_KInCo
_cell_length_a 3.4647
_cell_length_b 3.4647
_cell_length_c 7.3825
_cell_angle_alpha 90.00
_cell_angle_beta 90.00
_cell_angle_gamma 120.00
_symmetry_space_group_name_H-M 'P 1'
_symmetry_Int_Tables_number 1
loop_
_symmetry_equiv_pos_as_xyz
'x,y,z'
loop_
_atom_site_label
_atom_site_fract_x
_atom_site_fract_y
_atom_site_fract_z
K1 0.0000 0.0000 0.0000
In1 0.3333 0.6667 0.5838
Co1 0.6667 0.3333 0.3515



Record 3
# KAg5S4 (PBE-GGA, optimized geometry)
# total energy = -65.66 eV for the cell shown
# E_form (uncorrected) = -0.096 eV per atom
# crystal system = orthorhombic
data_KAg5S4
_cell_length_a 8.3290
_cell_length_b 9.8933
_cell_length_c 6.2319
_cell_angle_alpha 90.00
_cell_angle_beta 90.00
_cell_angle_gamma 90.00
_symmetry_space_group_name_H-M 'P 1'
_symmetry_Int_Tables_number 1
loop_
_symmetry_equiv_pos_as_xyz
'x,y,z'
loop_
_atom_site_label
_atom_site_fract_x
_atom_site_fract_y
_atom_site_fract_z
K1 0.2500 0.2500 0.2073
K2 0.7500 0.7500 0.7927
Ag1 0.0008 0.5811 0.1830
Ag2 0.0008 0.9189 0.1830
Ag3 0.2500 0.7500 0.6984
Ag4 0.4992 0.5811 0.1830
Ag5 0.4992 0.9189 0.1830
Ag6 0.5008 0.0811 0.8170
Ag7 0.5008 0.4189 0.8170
Ag8 0.7500 0.2500 0.3016
Ag9 0.9992 0.0811 0.8170
Ag10 0.9992 0.4189 0.8170
S1 0.0129 0.7500 0.4569
S2 0.2500 0.5376 0.9489
S3 0.2500 0.9624 0.9489
S4 0.4871 0.7500 0.4569
S5 0.5129 0.2500 0.5431
S6 0.7500 0.0376 0.0511
S7 0.7500 0.4624 0.0511
S8 0.9871 0.2500 0.5431



> total energy of number 2 (KInCo)?

-8.88 eV for the cell shown



> What is the formula in the third record?

KAg5S4